Here is a geometry-optimized MnCo3Cu structure from Alexandria. Energies are from GGA-PBE.

The value obtained for the density of states at the Fermi level is 1.195 states/eV/atom. The space-group type is Pm-3m (221). Its total energy is -5.665 eV/atom. The energy above the most stable polymorph in this dataset is 0 meV/atom. The size of the total moment comes out at 1.947 μB per cell.

a b c (Å): 4.1393 4.1393 4.1393
angles (deg): 90.00 90.00 90.00
Closest atoms and distances in Å follow each position.
Sites, in units of the cell vectors:
1 Mn 0.0000 0.0000 0.0000  6 Co 2.07
2 Co 0.0000 0.5000 0.0000  2 Mn 2.07
3 Co 0.0000 0.0000 0.5000  2 Mn 2.07
4 Co 0.5000 0.0000 0.0000  2 Mn 2.07
5 Cu 0.5000 0.5000 0.5000  12 Co 2.93